CoPH6NO5: PBEsol geometry, SCAN.

```
CoPH6NO5
1.0
-0.8160 4.6079 -0.4860
-1.6532 -0.8447 -5.2333
-8.2957 -1.1726 2.8099
Co P H N O
2 2 12 2 10
Direct
0.4773 0.5000 0.0224
0.9773 0.0000 0.9776
0.9101 0.5000 0.8096
0.4101 0.0000 0.1904
0.1597 0.5000 0.5428
0.6597 0.0000 0.4572
0.5287 0.5000 0.5489
0.0287 0.0000 0.4511
0.3529 0.3454 0.4103
0.3529 0.6546 0.4103
0.8529 0.1546 0.5897
0.8529 0.8454 0.5897
0.9055 0.3576 0.1815
0.9055 0.6424 0.1815
0.4055 0.1424 0.8185
0.4055 0.8576 0.8185
0.3482 0.5000 0.4769
0.8482 0.0000 0.5231
0.2306 0.5000 0.8336
0.7306 0.0000 0.1664
0.8472 0.5000 0.6374
0.3472 0.0000 0.3626
0.7813 0.5000 0.1983
0.2813 0.0000 0.8017
0.7617 0.2780 0.8868
0.7617 0.7220 0.8868
0.2617 0.2220 0.1132
0.2617 0.7780 0.1132
```

The calculation puts the calculated total energy at -7.66 eV/atom. As for the total magnetization: 3.0 μB per formula unit.